# 1
Material: SrPmBiBr
Method: DFT, GGA-PBE
State: relaxed

As for the volume: 31.14 A^3/atom. The calculation puts the density at 7.0 g/cm3. For the total energy, the calculation gives -0.2941 Ry/atom. The formation energy without anion corrections is -4.02 eV per formula unit.

The structure belongs to space group F-43m (No. 216); the cell edges are 7.928, 7.928 and 7.928 Å and the angles 90.00°, 90.00° and 90.00°. The distinct sites, in fractional coordinates, are Sr at (0.000, 0.000, 0.000), Pm at (0.000, 0.000, 0.500), Bi at (0.250, 0.250, 0.750) and Br at (0.250, 0.250, 0.250).



# 2
Material: Ga8Co2Ir
Method: DFT, GGA-PBE
State: relaxed

As for the volume: 17.30 A^3/atom. The calculation puts the density at 7.6 g/cm3. For the total energy, the calculation gives -0.3263 Ry/atom. Its energy relative to the elements is -141 meV/atom.

The structure belongs to space group C2/m (No. 12); the cell edges are 10.444, 8.002 and 4.834 Å and the angles 90.00°, 109.63° and 90.00°. The distinct sites, in fractional coordinates, are Ga at (0.034, 0.000, 0.275), Ga at (0.120, 0.274, 0.841), Ga at (0.206, 0.500, 0.359), Co at (0.214, 0.000, 0.068) and Ir at (0.000, 0.500, 0.500).



# 3
Material: AcTiGe
Method: DFT, GGA-PBE
State: relaxed

As for the volume: 26.02 A^3/atom. The calculation puts the density at 7.4 g/cm3. For the total energy, the calculation gives -0.4442 Ry/atom. Its energy relative to the elements is -503 meV/atom.

The structure belongs to space group I4/mmm (No. 139); the cell edges are 4.220, 4.220 and 17.533 Å and the angles 90.00°, 90.00° and 90.00°. The distinct sites, in fractional coordinates, are Ac at (0.000, 0.000, 0.167), Ti at (0.000, 0.500, 0.000) and Ge at (0.000, 0.000, 0.399).